1.
Compound: Te2RuICl
Source: Alexandria via LeMat-Bulk
Functional: GGA-PBE
Structure: optimized geometry

Results
The energy above the most stable polymorph in this dataset comes out at 0.00 eV/f.u. The value obtained for the density of states at the Fermi level is 6.750 states/eV/f.u. The value obtained for the uncorrected formation energy is 348.4 meV per atom. Its volume is 147.44 Å³ per cell.

a = 5.139 Å, b = 5.139 Å, c = 5.584 Å
α = 90.00°, β = 90.00°, γ = 90.00°
Space group P4/mmm (No. 123)
One atom of each set of equivalent atoms:
Te1 0.000 0.500 0.000 (multiplicity 2)
Ru1 0.000 0.000 0.000 (multiplicity 1)
I1 0.000 0.000 0.500 (multiplicity 1)
Cl1 0.500 0.500 0.500 (multiplicity 1)


2.
Compound: MnZn2Hg
Source: Alexandria via LeMat-Bulk
Functional: GGA-PBE
Structure: optimized geometry

Results
The value obtained for the density of states at the Fermi level is 2.034 states/eV/f.u. Its volume is 133.74 Å³ per cell. Its formation energy from the elements is 0.190 eV/atom.

a = 9.088 Å, b = 2.963 Å, c = 5.060 Å
α = 90.00°, β = 101.03°, γ = 90.00°
Space group C2/m (No. 12)
One atom of each set of equivalent atoms:
Mn1 0.000 0.000 0.000 (multiplicity 2)
Zn1 0.242 0.500 0.223 (multiplicity 4)
Hg1 0.000 0.500 0.500 (multiplicity 2)


3.
Compound: Sn2TeRhPb
Source: Alexandria via LeMat-Bulk
Functional: GGA-PBE
Structure: optimized geometry

Results
The value obtained for the density of states at the Fermi level is 2.427 states/eV/f.u. The value obtained for the uncorrected formation energy is -155.8 meV per atom. Its volume is 143.76 Å³ per cell.

a = 5.131 Å, b = 5.131 Å, c = 5.460 Å
α = 90.00°, β = 90.00°, γ = 90.00°
Space group P4/mmm (No. 123)
One atom of each set of equivalent atoms:
Sn1 0.000 0.500 0.000 (multiplicity 2)
Te1 0.000 0.000 0.500 (multiplicity 1)
Rh1 0.500 0.500 0.000 (multiplicity 1)
Pb1 0.500 0.500 0.500 (multiplicity 1)


4.
Compound: SmY2Ho3Er6
Source: Alexandria via LeMat-Bulk
Functional: GGA-PBE
Structure: optimized geometry

Results
The value obtained for the density of states at the Fermi level is 16.603 states/eV/f.u. Its volume is 747.03 Å³ per cell. Its formation energy from the elements is 0.022 eV/atom.

a = 6.120 Å, b = 10.588 Å, c = 11.707 Å
α = 90.00°, β = 99.99°, γ = 90.00°
Space group C2/m (No. 12)
One atom of each set of equivalent atoms:
Sm1 0.000 0.000 0.000 (multiplicity 2)
Y1 0.000 0.333 0.000 (multiplicity 4)
Ho1 0.000 0.167 0.500 (multiplicity 4)
Ho2 0.000 0.500 0.500 (multiplicity 2)
Er1 0.249 0.000 0.748 (multiplicity 4)
Er2 0.249 0.333 0.748 (multiplicity 8)


5.
Compound: TbPr2Dy7
Source: Alexandria via LeMat-Bulk
Functional: GGA-PBE
Structure: optimized geometry

Results
The energy above the most stable polymorph in this dataset comes out at 1.40 eV/f.u. The value obtained for the density of states at the Fermi level is 16.077 states/eV/f.u. Its volume is 665.02 Å³ per cell. Its formation energy from the elements is 0.156 eV/atom.

a = 6.529 Å, b = 28.952 Å, c = 3.518 Å
α = 90.00°, β = 90.00°, γ = 90.00°
Space group Cmmm (No. 65)
One atom of each set of equivalent atoms:
Tb1 0.000 0.000 0.000 (multiplicity 2)
Pr1 0.000 0.293 0.500 (multiplicity 4)
Dy1 0.000 0.185 0.000 (multiplicity 4)
Dy2 0.000 0.500 0.500 (multiplicity 2)
Dy3 0.246 0.098 0.500 (multiplicity 8)


6.
Compound: Rb3In8Bi3
Source: Alexandria via LeMat-Bulk
Functional: GGA-PBE
Structure: optimized geometry

Results
The value obtained for the density of states at the Fermi level is 8.659 states/eV/f.u. Its volume is 942.05 Å³ per cell. Its formation energy from the elements is -0.107 eV/atom.

a = 5.226 Å, b = 11.756 Å, c = 15.335 Å
α = 90.00°, β = 90.00°, γ = 90.00°
Space group Immm (No. 71)
One atom of each set of equivalent atoms:
Rb1 0.000 0.000 0.000 (multiplicity 2)
Rb2 0.000 0.000 0.308 (multiplicity 4)
In1 0.000 0.269 0.150 (multiplicity 8)
In2 0.000 0.371 0.337 (multiplicity 8)
Bi1 0.000 0.203 0.500 (multiplicity 4)
Bi2 0.000 0.500 0.000 (multiplicity 2)


7.
Compound: Th6BiRh2
Source: Alexandria via LeMat-Bulk
Functional: GGA-PBE
Structure: optimized geometry

Results
The value obtained for the density of states at the Fermi level is 10.652 states/eV/f.u. Its volume is 1043.77 Å³ per cell. Its formation energy from the elements is -0.462 eV/atom.

a = 16.670 Å, b = 7.725 Å, c = 8.152 Å
α = 90.00°, β = 96.15°, γ = 90.00°
Space group C2/c (No. 15)
One atom of each set of equivalent atoms:
Th1 0.080 0.110 0.117 (multiplicity 8)
Th2 0.110 0.433 0.458 (multiplicity 8)
Th3 0.230 0.206 0.798 (multiplicity 8)
Bi1 0.000 0.267 0.750 (multiplicity 4)
Rh1 0.193 0.095 0.459 (multiplicity 8)


8.
Compound: SrCdIn2Ir
Source: Alexandria via LeMat-Bulk
Functional: GGA-PBE
Structure: optimized geometry

Results
The energy above the most stable polymorph in this dataset comes out at 0.19 eV/f.u. The value obtained for the density of states at the Fermi level is 1.550 states/eV/f.u. Its volume is 156.44 Å³ per cell. Its formation energy from the elements is -0.176 eV/atom.

a = 5.201 Å, b = 5.201 Å, c = 5.784 Å
α = 90.00°, β = 90.00°, γ = 90.00°
Space group P4/mmm (No. 123)
One atom of each set of equivalent atoms:
Sr1 0.000 0.000 0.000 (multiplicity 1)
Cd1 0.500 0.500 0.000 (multiplicity 1)
In1 0.000 0.500 0.500 (multiplicity 2)
Ir1 0.000 0.000 0.500 (multiplicity 1)


9.
Compound: LiMg3Mn
Source: Alexandria via LeMat-Bulk
Functional: GGA-PBE
Structure: optimized geometry

Results
The energy above the most stable polymorph in this dataset comes out at 0.00 eV/f.u. The value obtained for the density of states at the Fermi level is 5.491 states/eV/f.u. Its volume is 135.73 Å³ per cell. Its formation energy from the elements is 0.548 eV/atom.

a = 5.139 Å, b = 5.139 Å, c = 5.139 Å
α = 90.00°, β = 90.00°, γ = 90.00°
Space group Pm-3m (No. 221)
One atom of each set of equivalent atoms:
Li1 0.000 0.000 0.000 (multiplicity 1)
Mg1 0.000 0.500 0.500 (multiplicity 3)
Mn1 0.500 0.500 0.500 (multiplicity 1)


10.
Compound: Np2Ni3Ge4Pt
Source: Alexandria via LeMat-Bulk
Functional: GGA-PBE
Structure: optimized geometry

Results
The value obtained for the density of states at the Fermi level is 23.108 states/eV/f.u. Its volume is 167.73 Å³ per cell. Its formation energy from the elements is -0.417 eV/atom.

a = 4.130 Å, b = 4.130 Å, c = 9.833 Å
α = 90.00°, β = 90.00°, γ = 90.00°
Space group P-4m2 (No. 115)
One atom of each set of equivalent atoms:
Np1 0.000 0.500 0.245 (multiplicity 2)
Ni1 0.000 0.500 0.879 (multiplicity 2)
Ni2 0.500 0.500 0.500 (multiplicity 1)
Ge1 0.000 0.000 0.000 (multiplicity 1)
Ge2 0.000 0.500 0.644 (multiplicity 2)
Ge3 0.500 0.500 0.000 (multiplicity 1)
Pt1 0.000 0.000 0.500 (multiplicity 1)


11.
Compound: ZrAgPdPb
Source: Alexandria via LeMat-Bulk
Functional: GGA-PBE
Structure: optimized geometry

Results
The value obtained for the density of states at the Fermi level is 2.231 states/eV/f.u. Its volume is 321.04 Å³ per cell. Its formation energy from the elements is -0.196 eV/atom.

a = 6.847 Å, b = 6.847 Å, c = 6.847 Å
α = 90.00°, β = 90.00°, γ = 90.00°
Space group F-43m (No. 216)
One atom of each set of equivalent atoms:
Zr1 0.000 0.000 0.000 (multiplicity 4)
Ag1 0.250 0.250 0.750 (multiplicity 4)
Pd1 0.250 0.250 0.250 (multiplicity 4)
Pb1 0.000 0.000 0.500 (multiplicity 4)


12.
Compound: Tb4Y7Tm2
Source: Alexandria via LeMat-Bulk
Functional: GGA-PBE
Structure: optimized geometry

Results
The value obtained for the density of states at the Fermi level is 18.936 states/eV/f.u. Its volume is 412.92 Å³ per cell. Its formation energy from the elements is 0.023 eV/atom.

a = 6.149 Å, b = 7.945 Å, c = 9.414 Å
α = 65.09°, β = 83.81°, γ = 82.58°
Space group P-1 (No. 2)
One atom of each set of equivalent atoms:
Tb1 0.040 0.425 0.346 (multiplicity 2)
Tb2 0.193 0.117 0.732 (multiplicity 2)
Y1 0.114 0.268 0.038 (multiplicity 2)
Y2 0.268 0.962 0.423 (multiplicity 2)
Y3 0.423 0.653 0.808 (multiplicity 2)
Y4 0.500 0.500 0.500 (multiplicity 1)
Tm1 0.347 0.809 0.115 (multiplicity 2)